VASP calculation (PBE-GGA) on an optimized crystal structure of Ag2AsCl.

Unit cell a=3.365 b=3.371 c=7.316 alpha=89.99 beta=90.00 gamma=90.00
Fractional positions:
As 0.500 0.250 0.250
Ag 0.000 0.750 0.036
Cl 0.500 0.750 0.750
Ag 0.000 0.750 0.464

Results
V   83 Å³/cell
Symmetry   No. 47


VASP calculation (PBE-GGA) on an optimized crystal structure of Ag2AsCl.

Unit cell a=3.658 b=3.323 c=7.312 alpha=76.03 beta=90.00 gamma=90.00
Fractional positions:
Ag 0.500 0.305 0.254
Ag 0.000 0.933 0.016
Cl 0.500 0.538 0.822
As 0.000 0.724 0.408

Results
V   86 Å³/cell
Symmetry   No. 6


VASP calculation (PBE-GGA) on an optimized crystal structure of AgAs2Cl.

Unit cell a=3.893 b=3.893 c=12.062 alpha=80.71 beta=80.71 gamma=90.00
Fractional positions:
As 0.681 0.125 0.250
As 0.375 0.319 0.750
Cl 0.250 0.750 0.500
As 0.069 0.625 0.250
As 0.875 0.931 0.750
Ag 0.000 0.000 0.000
Cl 0.500 0.500 0.000
Ag 0.750 0.250 0.500

Results
V   178 Å³/cell
Symmetry   No. 122


VASP calculation (PBE-GGA) on an optimized crystal structure of AgAsCl4.

Unit cell a=5.816 b=5.816 c=5.816 alpha=60.00 beta=60.00 gamma=60.00
Fractional positions:
As 0.000 0.000 0.000
Cl 0.874 0.375 0.375
Cl 0.375 0.375 0.874
Cl 0.375 0.874 0.375
Cl 0.375 0.375 0.375
Ag 0.750 0.750 0.750

Results
V   139 Å³/cell
Symmetry   No. 216


VASP calculation (PBE-GGA) on an optimized crystal structure of AgAsCl5.

Unit cell a=6.704 b=6.704 c=9.747 alpha=68.43 beta=68.43 gamma=70.25
Fractional positions:
Ag 0.461 0.539 0.750
As 0.000 0.000 0.500
Cl 0.342 0.755 0.039
Cl 0.111 0.889 0.750
As 0.000 0.000 0.000
Cl 0.755 0.342 0.539
Cl 0.823 0.703 0.137
Cl 0.297 0.177 0.363
Cl 0.889 0.111 0.250
Cl 0.177 0.297 0.863
Cl 0.245 0.658 0.461
Cl 0.658 0.245 0.961
Ag 0.539 0.461 0.250
Cl 0.703 0.823 0.637

Results
V   368 Å³/cell
Symmetry   No. 15


VASP calculation (PBE-GGA) on an optimized crystal structure of AgAs2Cl.

Unit cell a=3.026 b=5.214 c=4.950 alpha=90.00 beta=90.00 gamma=90.00
Fractional positions:
Ag 0.000 0.500 0.500
As 0.500 0.500 0.000
Cl 0.500 0.000 0.500
As 0.000 0.000 0.000

Results
V   78 Å³/cell
Symmetry   No. 47


VASP calculation (PBE-GGA) on an optimized crystal structure of AgAs2Cl.

Unit cell a=4.916 b=4.916 c=6.197 alpha=82.86 beta=82.86 gamma=43.23
Fractional positions:
As 0.246 0.246 0.131
Cl 0.558 0.558 0.550
Ag 0.772 0.772 0.749
As 0.923 0.923 0.071

Results
V   102 Å³/cell
Symmetry   No. 8


VASP calculation (PBE-GGA) on an optimized crystal structure of Ag2AsCl.

Unit cell a=6.458 b=6.458 c=6.757 alpha=61.46 beta=61.46 gamma=90.00
Fractional positions:
As 0.000 0.000 0.000
Ag 0.875 0.893 0.750
As 0.750 0.250 0.500
Cl 0.250 0.750 0.500
Ag 0.643 0.125 0.250
Ag 0.107 0.625 0.250
Cl 0.500 0.500 0.000
Ag 0.375 0.357 0.750

Results
V   208 Å³/cell
Symmetry   No. 122


VASP calculation (PBE-GGA) on an optimized crystal structure of AgAs2Cl.

Unit cell a=3.105 b=3.105 c=9.281 alpha=90.00 beta=90.00 gamma=119.77
Fractional positions:
Ag 0.500 0.500 0.750
Cl 0.500 0.500 0.250
As 0.000 0.000 0.500
As 0.000 0.000 0.000

Results
V   78 Å³/cell
Symmetry   No. 65


VASP calculation (PBE-GGA) on an optimized crystal structure of AgAs2Cl.

Unit cell a=7.833 b=3.693 c=3.693 alpha=90.00 beta=90.00 gamma=90.00
Fractional positions:
Ag 0.500 0.000 0.500
As 0.000 0.500 0.500
Cl 0.500 0.500 0.000
As 0.000 0.000 0.000

Results
V   107 Å³/cell
Symmetry   No. 123


VASP calculation (PBE-GGA) on an optimized crystal structure of Ag2AsCl.

Unit cell a=8.413 b=8.413 c=8.413 alpha=23.15 beta=23.15 gamma=23.15
Fractional positions:
As 0.508 0.508 0.508
Ag 0.000 0.000 0.000
Cl 0.743 0.743 0.743
Ag 0.249 0.249 0.249

Results
V   81 Å³/cell
Symmetry   No. 160


VASP calculation (PBE-GGA) on an optimized crystal structure of AgAs2Cl.

Unit cell a=6.752 b=6.752 c=4.049 alpha=97.79 beta=97.79 gamma=31.07
Fractional positions:
Cl 0.250 0.250 0.250
Ag 0.750 0.750 0.750
As 0.538 0.538 0.608
As 0.962 0.962 0.892

Results
V   94 Å³/cell
Symmetry   No. 12


VASP calculation (PBE-GGA) on an optimized crystal structure of AgAs2Cl.

Unit cell a=7.873 b=7.873 c=7.873 alpha=27.45 beta=27.45 gamma=27.45
Fractional positions:
Ag 0.752 0.752 0.752
As 0.996 0.996 0.996
As 0.268 0.268 0.268
Cl 0.485 0.485 0.485

Results
V   92 Å³/cell
Symmetry   No. 160


VASP calculation (PBE-GGA) on an optimized crystal structure of AgAs2Cl.

Unit cell a=3.414 b=3.414 c=8.223 alpha=90.00 beta=90.00 gamma=114.61
Fractional positions:
As 0.000 0.000 0.006
Cl 0.000 0.000 0.530
As 0.500 0.500 0.218
Ag 0.500 0.500 0.745

Results
V   87 Å³/cell
Symmetry   No. 35


Computed values of energy relative to the elements, uncorrected (unit: eV per formula unit) for the preceding records, in sequence: -0.17, -0.14, 0.22, 4.84, -2.89, 1.07, -0.10, 0.25, 1.19, 0.45, 0.49, -0.16, -0.66, 0.43.